w) ## CdInPd2 (PBE)

Data for CdInPd2 after structural relaxation.

Structure (POSCAR):
```
CdInPd2
1.0
4.6538 0.0000 0.0000
0.0000 4.6538 0.0000
0.0000 0.0000 6.5436
Cd In Pd
2 2 4
direct
0.0000 0.0000 0.0000 Cd
0.5000 0.5000 0.5000 Cd
0.0000 0.0000 0.5000 In
0.5000 0.5000 0.0000 In
0.0000 0.5000 0.2500 Pd
0.0000 0.5000 0.7500 Pd
0.5000 0.0000 0.2500 Pd
0.5000 0.0000 0.7500 Pd
```

***

x) ## CdInPd2 (PBE)

Data for CdInPd2 after structural relaxation.

Structure (POSCAR):
```
CdInPd2
1.0
4.6087 0.0000 0.0000
-2.3043 3.9912 0.0000
0.0000 0.0000 8.2964
Cd In Pd
2 2 4
direct
0.0000 0.0000 0.0000 Cd
0.0000 0.0000 0.5000 Cd
0.3333 0.6667 0.2500 In
0.6667 0.3333 0.7500 In
0.3333 0.6667 0.5843 Pd
0.3333 0.6667 0.9157 Pd
0.6667 0.3333 0.0843 Pd
0.6667 0.3333 0.4157 Pd
```

***

Energetically preferred structure: w) | next structure: +0.086 eV/atom